[1]
8
Lattice="6.566 0.000 0.000 0.000 6.566 0.000 3.283 3.283 5.988" Properties=species:S:1:pos:R:3 comment="VSiBi2 (GGA-PBE, optimized geometry)" dos_at_fermi_per_ev_atom=0.472 total_magnetization_mub_per_cell=6.0 de_polymorph_ev_per_atom=0.0440 e_form_raw_ev_per_fu=2.6 energy_ev_per_atom=-4.92 pbc="T T T"
Bi 4.859 1.641 1.497
Bi 1.706 4.924 1.497
Bi 4.924 4.989 4.491
Bi 8.207 8.142 4.491
V 0.000 0.000 0.000
V 6.566 3.283 2.994
Si 3.283 3.283 0.000
Si 3.283 6.566 2.994

[2]
4
Lattice="0.000 3.611 3.611 3.611 0.000 3.611 3.611 3.611 0.000" Properties=species:S:1:pos:R:3 comment="VSiBi2 (GGA-PBE, optimized geometry)" dos_at_fermi_per_ev_atom=0.674 total_magnetization_mub_per_cell=3.0 de_polymorph_ev_per_atom=0.0000 e_form_raw_ev_per_fu=2.4 energy_ev_per_atom=-4.97 pbc="T T T"
Si 0.000 0.000 0.000
Bi 5.417 5.417 5.417
Bi 1.806 1.806 1.806
V 3.611 3.611 3.611

[3]
4
Lattice="4.779 -0.146 0.228 2.461 3.930 1.187 2.202 0.255 4.242" Properties=species:S:1:pos:R:3 comment="VSi2Bi (GGA-PBE, optimized geometry)" dos_at_fermi_per_ev_atom=0.416 total_magnetization_mub_per_cell=2.9 de_polymorph_ev_per_atom=0.2041 e_form_raw_ev_per_fu=2.6 energy_ev_per_atom=-5.30 pbc="T T T"
V 0.000 0.000 0.000
Bi 4.721 2.020 2.829
Si 7.081 3.030 4.243
Si 2.360 1.010 1.414